# BeBiPdS2 (GGA-PBE, optimized geometry)
# DFT total energy (eV/atom): -3.883
# DOS at the Fermi energy (states/eV/cell): 3.75
# Calculated volume (A^3/atom): 20.06
data_BeBiPdS2
_cell_length_a 4.9268
_cell_length_b 4.1316
_cell_length_c 4.9268
_cell_angle_alpha 90.00
_cell_angle_beta 90.00
_cell_angle_gamma 90.00
_symmetry_space_group_name_H-M 'P 1'
_symmetry_Int_Tables_number 1
loop_
_symmetry_equiv_pos_as_xyz
'x,y,z'
loop_
_atom_site_label
_atom_site_fract_x
_atom_site_fract_y
_atom_site_fract_z
S1 0.5000 0.0000 0.0000
Pd1 0.0000 0.0000 0.0000
Bi1 0.5000 0.5000 0.5000
Be1 0.0000 0.5000 0.0000
S2 0.0000 0.0000 0.5000

---

# BeBiSb2Pd (GGA-PBE, optimized geometry)
# DFT total energy (eV/atom): -3.003
# DOS at the Fermi energy (states/eV/cell): 4.33
# Calculated volume (A^3/atom): 30.62
data_BeBiSb2Pd
_cell_length_a 5.9320
_cell_length_b 4.3513
_cell_length_c 5.9320
_cell_angle_alpha 90.00
_cell_angle_beta 90.00
_cell_angle_gamma 90.00
_symmetry_space_group_name_H-M 'P 1'
_symmetry_Int_Tables_number 1
loop_
_symmetry_equiv_pos_as_xyz
'x,y,z'
loop_
_atom_site_label
_atom_site_fract_x
_atom_site_fract_y
_atom_site_fract_z
Bi1 0.0000 0.0000 0.0000
Pd1 0.5000 0.5000 0.5000
Sb1 0.5000 0.0000 0.0000
Be1 0.0000 0.5000 0.0000
Sb2 0.0000 0.0000 0.5000

---

# BeBiSbPd2 (GGA-PBE, optimized geometry)
# DFT total energy (eV/atom): -3.480
# DOS at the Fermi energy (states/eV/cell): 2.36
# Calculated volume (A^3/atom): 28.90
data_BeBiSbPd2
_cell_length_a 4.9311
_cell_length_b 5.9434
_cell_length_c 4.9311
_cell_angle_alpha 90.00
_cell_angle_beta 90.00
_cell_angle_gamma 90.00
_symmetry_space_group_name_H-M 'P 1'
_symmetry_Int_Tables_number 1
loop_
_symmetry_equiv_pos_as_xyz
'x,y,z'
loop_
_atom_site_label
_atom_site_fract_x
_atom_site_fract_y
_atom_site_fract_z
Sb1 0.0000 0.0000 0.0000
Pd1 0.5000 0.0000 0.0000
Be1 0.5000 0.5000 0.5000
Pd2 0.0000 0.0000 0.5000
Bi1 0.0000 0.5000 0.0000

---

# BeSiBiPd2 (GGA-PBE, optimized geometry)
# DFT total energy (eV/atom): -4.580
# DOS at the Fermi energy (states/eV/cell): 2.68
# Calculated volume (A^3/atom): 18.68
data_BeSiBiPd2
_cell_length_a 4.7306
_cell_length_b 4.1738
_cell_length_c 4.7306
_cell_angle_alpha 90.00
_cell_angle_beta 90.00
_cell_angle_gamma 90.00
_symmetry_space_group_name_H-M 'P 1'
_symmetry_Int_Tables_number 1
loop_
_symmetry_equiv_pos_as_xyz
'x,y,z'
loop_
_atom_site_label
_atom_site_fract_x
_atom_site_fract_y
_atom_site_fract_z
Be1 0.0000 0.5000 0.0000
Bi1 0.5000 0.5000 0.5000
Pd1 0.0000 0.0000 0.5000
Si1 0.0000 0.0000 0.0000
Pd2 0.5000 0.0000 0.0000

---

# Be2TcBiPd (GGA-PBE, optimized geometry)
# DFT total energy (eV/atom): -4.418
# DOS at the Fermi energy (states/eV/cell): 4.22
# Calculated volume (A^3/atom): 19.20
data_Be2TcBiPd
_cell_length_a 4.2307
_cell_length_b 5.3634
_cell_length_c 4.2307
_cell_angle_alpha 90.00
_cell_angle_beta 90.00
_cell_angle_gamma 90.00
_symmetry_space_group_name_H-M 'P 1'
_symmetry_Int_Tables_number 1
loop_
_symmetry_equiv_pos_as_xyz
'x,y,z'
loop_
_atom_site_label
_atom_site_fract_x
_atom_site_fract_y
_atom_site_fract_z
Tc1 0.5000 0.5000 0.5000
Pd1 0.0000 0.0000 0.0000
Be1 0.5000 0.0000 0.0000
Bi1 0.0000 0.5000 0.0000
Be2 0.0000 0.0000 0.5000

---

# BeV2BiPd (GGA-PBE, optimized geometry)
# DFT total energy (eV/atom): -5.829
# DOS at the Fermi energy (states/eV/cell): 5.96
# Calculated volume (A^3/atom): 16.24
data_BeV2BiPd
_cell_length_a 4.3599
_cell_length_b 4.2705
_cell_length_c 4.3599
_cell_angle_alpha 90.00
_cell_angle_beta 90.00
_cell_angle_gamma 90.00
_symmetry_space_group_name_H-M 'P 1'
_symmetry_Int_Tables_number 1
loop_
_symmetry_equiv_pos_as_xyz
'x,y,z'
loop_
_atom_site_label
_atom_site_fract_x
_atom_site_fract_y
_atom_site_fract_z
Bi1 0.5000 0.5000 0.5000
Be1 0.0000 0.0000 0.0000
V1 0.0000 0.0000 0.5000
Pd1 0.0000 0.5000 0.0000
V2 0.5000 0.0000 0.0000

---

Q: Which of these has the lowest DOS at the Fermi energy?
A: BeBiSbPd2

---

Q: Which value of DFT total energy does entry 1 give?
A: -3.883 eV/atom